# 1
The following is a DFT calculation (GGA-PBE) of an optimized crystal structure of LiPmFeGe2.

Lattice parameters (Å, degrees): 4.096 4.096 10.677 90.00 90.00 90.00
Space group I-4m2 (No. 119)
Asymmetric unit:
Li (0.000, 0.000, 0.000) (multiplicity 2)
Pm (0.000, 0.500, 0.250) (multiplicity 2)
Fe (0.000, 0.000, 0.500) (multiplicity 2)
Ge (0.000, 0.500, 0.629) (multiplicity 4)

Properties
Formation energy, meV/atom: -476

=====

# 2
The following is a DFT calculation (GGA-PBE) of an optimized crystal structure of ScBeNi.

Lattice parameters (Å, degrees): 3.029 3.029 8.832 90.00 90.00 90.00
Space group I4mm (No. 107)
Asymmetric unit:
Sc (0.000, 0.000, 0.000) (multiplicity 2)
Be (0.000, 0.000, 0.701) (multiplicity 2)
Ni (0.000, 0.000, 0.304) (multiplicity 2)

Properties
Formation energy, meV/atom: -280

=====

# 3
The following is a DFT calculation (GGA-PBE) of an optimized crystal structure of AcNpCd2O6.

Lattice parameters (Å, degrees): 5.930 6.010 10.502 90.00 122.99 90.00
Space group P2_1/c (No. 14)
Asymmetric unit:
Ac (0.000, 0.000, 0.000) (multiplicity 2)
Np (0.500, 0.000, 0.500) (multiplicity 2)
Cd (0.230, 0.027, 0.744) (multiplicity 4)
O (0.145, 0.111, 0.268) (multiplicity 4)
O (0.246, 0.647, 0.057) (multiplicity 4)
O (0.444, 0.196, 0.083) (multiplicity 4)

Properties
Raw formation energy, eV/atom: -2.256

=====

# 4
The following is a DFT calculation (GGA-PBE) of an optimized crystal structure of GdGe2Pb.

Lattice parameters (Å, degrees): 4.694 4.694 4.257 90.00 90.00 90.00
Space group P4/mmm (No. 123)
Asymmetric unit:
Gd (0.000, 0.000, 0.000) (multiplicity 1)
Ge (0.000, 0.500, 0.500) (multiplicity 2)
Pb (0.500, 0.500, 0.000) (multiplicity 1)

Properties
Formation energy, meV/atom: -341

=====

# 5
The following is a DFT calculation (GGA-PBE) of an optimized crystal structure of CaCe2Ir.

Lattice parameters (Å, degrees): 4.0406 4.0406 28.3122 90.00 90.00 120.00
Space group R-3m (No. 166, hexagonal axes)
Asymmetric unit:
Ca (0.0000, 0.0000, 0.0000) (multiplicity 3)
Ce (0.0000, 0.0000, 0.2215) (multiplicity 6)
Ir (0.0000, 0.0000, 0.5000) (multiplicity 3)

Properties
Formation energy, meV/atom: -299

=====

# 6
The following is a DFT calculation (GGA-PBE) of an optimized crystal structure of KLiS.

Lattice parameters (Å, degrees): 4.2157 4.2157 9.0710 90.00 90.00 120.00
Space group P6_3/mmc (No. 194)
Asymmetric unit:
K (0.0000, 0.0000, 0.0000) (multiplicity 2)
Li (0.3333, 0.6667, 0.2500) (multiplicity 2)
S (0.3333, 0.6667, 0.7500) (multiplicity 2)

Properties
Raw formation energy, eV/atom: -1.178

=====

# 7
The following is a DFT calculation (GGA-PBE) of an optimized crystal structure of SiPbSe.

Lattice parameters (Å, degrees): 3.588 3.588 11.021 90.00 90.00 90.00
Space group I4mm (No. 107)
Asymmetric unit:
Si (0.000, 0.000, 0.000) (multiplicity 2)
Pb (0.000, 0.000, 0.687) (multiplicity 2)
Se (0.000, 0.000, 0.409) (multiplicity 2)

Properties
Raw formation energy, eV/atom: 0.174

=====

# 8
The following is a DFT calculation (GGA-PBE) of an optimized crystal structure of Tl2SiAu.

Lattice parameters (Å, degrees): 3.402 5.057 11.589 90.00 90.00 90.00
Space group Imm2 (No. 44)
Asymmetric unit:
Tl (0.000, 0.000, 0.000) (multiplicity 2)
Tl (0.000, 0.500, 0.191) (multiplicity 2)
Si (0.000, 0.000, 0.433) (multiplicity 2)
Au (0.000, 0.500, 0.777) (multiplicity 2)

Properties
Raw formation energy, eV/atom: 0.201

=====

Mass density readings, ordered: 6.55 4.62 8.30 9.02 6.38 1.86 7.35 10.56 g cm⁻³